A geometry-optimized Zn4TeAu structure, computed with PBEsol.

## Properties
D(E_F)   0.422 states/eV/atom
V   16.87 A^3/atom
Raw formation energy   0.1675 eV/atom

CIF file:
```
data_Zn4TeAu
_chemical_formula_sum 'Zn16 Te4 Au4'
_cell_length_a 7.398
_cell_length_b 7.398
_cell_length_c 7.398
_cell_angle_alpha 90.00
_cell_angle_beta 90.00
_cell_angle_gamma 90.00
_space_group_name_H-M_alt 'F -4 3 m'
_space_group_IT_number 216
_space_group_name_Hall 'F -4 2 3'
loop_
_atom_site_label
_atom_site_type_symbol
_atom_site_fract_x
_atom_site_fract_y
_atom_site_fract_z
Zn1 Zn 0.125 0.125 0.125
Te1 Te 0.250 0.250 0.750
Au1 Au 0.000 0.000 0.500
```